Mg3Ag8Hg2 | PBE | optimized geometry

The calculation puts the total energy at -84.2 eV per cell. The energy of formation comes out at 0.3 kcal/mol of atoms. The calculation puts the total magnetization at 0.00 μB per formula unit. The volume comes out at 20.8 A^3/atom.

The space group is R-3m (No. 166, hexagonal axes) and the conventional cell measures 5.5100, 5.5100 and 30.8076 Å, with angles of 90.00, 90.00 and 120.00 degrees. The inequivalent atoms are Mg at (0.0000, 0.0000, 0.0000), Mg at (0.0000, 0.0000, 0.1840), Ag at (0.0000, 0.0000, 0.2712), Ag at (0.0013, 0.5006, 0.7737) and Hg at (0.0000, 0.0000, 0.3605).